Record 1
Computed, not measured: a geometry-optimized GaMoBr structure at the PBE-GGA level of DFT.

abc: 3.320 4.397 9.939
angles: 95.76 96.94 90.73
Atoms (fractional coordinates):
1 Ga 0.660 0.318 0.896
2 Ga 0.233 0.344 0.135
3 Mo 0.730 0.825 0.153
4 Mo 0.208 0.847 0.959
5 Br 0.376 0.996 0.371
6 Br 0.036 0.586 0.704

Output
For the formation energy (no corrections), the calculation gives -0.06 eV per atom. The calculation puts the offset from the most stable computed form at 75 meV per atom. As for the raw total energy: -5.233 eV/atom. As for the space-group type: P1. The magnetic moment is 0.00 μB/f.u.

Record 2
Computed, not measured: a geometry-optimized NdSm3Rh structure at the PBE-GGA level of DFT.

abc: 3.865 6.412 12.853
angles: 85.97 81.35 72.46
Atoms (fractional coordinates):
1 Nd 0.113 0.492 0.283
2 Nd 0.220 0.559 0.001
3 Sm 0.440 0.965 0.155
4 Sm 0.771 0.705 0.753
5 Sm 0.098 0.175 0.628
6 Sm 0.991 0.112 0.906
7 Sm 0.782 0.044 0.392
8 Sm 0.430 0.622 0.518
9 Rh 0.783 0.311 0.122
10 Rh 0.432 0.352 0.784

Output
The calculation puts the offset from the most stable computed form at 0 meV per atom. As for the raw total energy: -5.581 eV/atom. As for the formation energy: -326 meV per atom. As for the space-group type: Cm. The magnetic moment is 0.00 μB/f.u.

Record 3
Computed, not measured: a geometry-optimized LiSm4Sc3Se8 structure at the PBE-GGA level of DFT.

abc: 8.040 8.063 8.040
angles: 119.91 120.00 90.00
Atoms (fractional coordinates):
1 Li 0.000 0.500 0.000
2 Sm 0.500 0.000 0.000
3 Sm 0.500 0.000 0.500
4 Sm 0.000 0.000 0.000
5 Sm 0.000 0.000 0.500
6 Sc 0.500 0.500 0.000
7 Sc 0.500 0.500 0.500
8 Sc 0.000 0.500 0.500
9 Se 0.241 0.725 0.985
10 Se 0.241 0.725 0.481
11 Se 0.258 0.273 0.515
12 Se 0.744 0.725 0.985
13 Se 0.256 0.275 0.015
14 Se 0.742 0.727 0.485
15 Se 0.759 0.275 0.519
16 Se 0.759 0.275 0.015

Output
For the formation energy (no corrections), the calculation gives -1.70 eV per atom. As for the raw total energy: -5.930 eV/atom. As for the space-group type: R-3m. The magnetic moment is 0.00 μB/f.u.

Record 4
Computed, not measured: a geometry-optimized KNaTl2Rh structure at the PBE-GGA level of DFT.

abc: 5.305 5.305 5.583
angles: 90.00 90.00 90.00
Atoms (fractional coordinates):
1 Na 0.000 0.000 0.500
2 Tl 0.000 0.500 0.000
3 Tl 0.500 0.000 0.000
4 Rh 0.000 0.000 0.000
5 K 0.500 0.500 0.500

Output
The calculation puts the offset from the most stable computed form at 0 meV per atom. As for the raw total energy: -2.964 eV/atom. As for the formation energy: -64 meV per atom. As for the space-group type: P4/mmm. The magnetic moment is 0.00 μB/f.u.

Record 5
Computed, not measured: a geometry-optimized CeAgPb2 structure at the PBE-GGA level of DFT.

abc: 4.894 4.894 6.008
angles: 65.97 65.97 60.00
Each line ends with the local moment (μB).
Atoms (fractional coordinates):
1 Pb 0.765 0.765 0.706  0.01
2 Pb 0.235 0.235 0.294  0.01
3 Ag 0.500 0.500 0.500  0.00
4 Ce 0.000 0.000 0.000  0.85

Output
The calculation puts the offset from the most stable computed form at 139 meV per atom. As for the raw total energy: -4.191 eV/atom. As for the formation energy: -140 meV per atom. As for the space-group type: R-3m. The magnetic moment is 0.96 μB/f.u.

Record 6
Computed, not measured: a geometry-optimized Ac2LaSm5Dy structure at the PBE-GGA level of DFT.

abc: 5.857 10.636 11.016
angles: 90.00 90.00 105.98
Atoms (fractional coordinates):
1 Ac 0.884 0.767 0.819
2 Ac 0.114 0.229 0.730
3 Ac 0.116 0.233 0.319
4 Ac 0.886 0.771 0.230
5 La 0.585 0.170 0.962
6 La 0.415 0.830 0.462
7 Sm 0.388 0.775 0.020
8 Sm 0.717 0.434 0.812
9 Sm 0.484 0.967 0.740
10 Sm 0.296 0.593 0.707
11 Sm 0.981 0.962 0.524
12 Sm 0.612 0.225 0.520
13 Sm 0.283 0.566 0.312
14 Sm 0.516 0.033 0.240
15 Sm 0.704 0.407 0.207
16 Sm 0.019 0.038 0.024
17 Dy 0.794 0.587 0.510
18 Dy 0.206 0.413 0.010

Output
As for the raw total energy: -4.449 eV/atom. As for the formation energy: 144 meV per atom. As for the space-group type: Cmc2_1. The magnetic moment is 0.00 μB/f.u.

Record 7
Computed, not measured: a geometry-optimized ScUBi2 structure at the PBE-GGA level of DFT.

abc: 4.324 4.324 7.738
angles: 73.78 73.78 60.00
Each line ends with the local moment (μB).
Atoms (fractional coordinates):
1 Sc 0.000 0.000 0.000  -0.01
2 U 0.500 0.500 0.500  2.60
3 Bi 0.256 0.256 0.232  -0.06
4 Bi 0.744 0.744 0.768  -0.06

Output
The calculation puts the offset from the most stable computed form at 0 meV per atom. As for the raw total energy: -6.597 eV/atom. As for the formation energy: -252 meV per atom. As for the space-group type: R-3m. The magnetic moment is 2.78 μB/f.u.

Record 8
Computed, not measured: a geometry-optimized PmNdTmAl structure at the PBE-GGA level of DFT.

abc: 3.538 3.538 9.245
angles: 90.00 90.00 90.00
Atoms (fractional coordinates):
1 Pm 0.500 0.500 0.780
2 Nd 0.000 0.000 0.082
3 Tm 0.500 0.500 0.361
4 Al 0.000 0.000 0.562

Output
The calculation puts the offset from the most stable computed form at 0 meV per atom. As for the raw total energy: -4.612 eV/atom. As for the formation energy: -179 meV per atom. As for the space-group type: P4mm. The magnetic moment is 0.00 μB/f.u.

Record 9
Computed, not measured: a geometry-optimized Fe2HgW structure at the PBE-GGA level of DFT.

abc: 6.767 6.767 5.530
angles: 52.28 52.28 90.00
Atoms (fractional coordinates):
1 Hg 0.000 0.000 0.000
2 Hg 0.750 0.250 0.500
3 W 0.500 0.500 0.000
4 W 0.250 0.750 0.500
5 Fe 0.585 0.125 0.250
6 Fe 0.165 0.625 0.250
7 Fe 0.375 0.415 0.750
8 Fe 0.875 0.835 0.750

Output
As for the raw total energy: -6.596 eV/atom. As for the formation energy: 949 meV per atom. As for the space-group type: I-42d. The magnetic moment is 0.00 μB/f.u.

Record 10
Computed, not measured: a geometry-optimized CaLa8Pr5 structure at the PBE-GGA level of DFT.

abc: 8.851 8.851 8.851
angles: 110.85 106.75 110.85
Atoms (fractional coordinates):
1 Ca 0.250 0.500 0.750
2 La 0.173 0.738 0.081
3 La 0.919 0.092 0.658
4 La 0.725 0.250 0.325
5 La 0.675 0.400 0.925
6 La 0.525 0.600 0.275
7 La 0.566 0.908 0.827
8 La 0.342 0.262 0.434
9 La 0.075 0.750 0.475
10 Pr 0.035 0.313 0.135
11 Pr 0.865 0.899 0.177
12 Pr 0.823 0.687 0.722
13 Pr 0.500 0.000 0.500
14 Pr 0.278 0.101 0.965

Output
As for the raw total energy: -4.461 eV/atom. As for the formation energy: 205 meV per atom. As for the space-group type: I-4. The magnetic moment is 0.00 μB/f.u.

Record 11
Computed, not measured: a geometry-optimized Tb2Ge3Pt structure at the PBE-GGA level of DFT.

abc: 5.873 5.873 8.399
angles: 109.84 109.84 91.69
Atoms (fractional coordinates):
1 Tb 0.250 0.750 0.500
2 Tb 0.752 0.752 0.000
3 Tb 0.750 0.250 0.500
4 Tb 0.248 0.248 0.000
5 Ge 0.665 0.168 0.833
6 Ge 0.832 0.335 0.167
7 Ge 0.335 0.832 0.167
8 Ge 0.168 0.665 0.833
9 Ge 0.832 0.832 0.665
10 Ge 0.168 0.168 0.335
11 Pt 0.333 0.333 0.666
12 Pt 0.667 0.667 0.334

Output
The calculation puts the offset from the most stable computed form at 0 meV per atom. As for the raw total energy: -5.731 eV/atom. As for the formation energy: -872 meV per atom. As for the space-group type: Fmmm. The magnetic moment is 0.00 μB/f.u.

Record 12
Computed, not measured: a geometry-optimized InCu3Se structure at the PBE-GGA level of DFT.

abc: 4.836 4.836 4.836
angles: 90.00 90.00 90.00
Atoms (fractional coordinates):
1 Cu 0.000 0.500 0.000
2 Cu 0.000 0.000 0.500
3 Cu 0.500 0.000 0.000
4 Se 0.500 0.500 0.500
5 In 0.000 0.000 0.000

Output
For the formation energy (no corrections), the calculation gives 0.94 eV per atom. The calculation puts the offset from the most stable computed form at 561 meV per atom. As for the raw total energy: -2.759 eV/atom. As for the space-group type: Pm-3m. The magnetic moment is 0.00 μB/f.u.